HoGePt PBE relaxed; total magnetic moment = 0.0 Bohr magnetons per cell; DFT total energy = -6.22 eV/atom; theoretical density = 12321 kg/m3; volume = 19.437 Å³/atom; crystal system = orthorhombic
1.0
7.003 0.000 0.000
0.000 4.370 0.000
0.000 0.000 7.622
Ge Ho Pt
4 4 4
Direct
0.309 0.250 0.089 Ge
0.809 0.250 0.411 Ge
0.191 0.750 0.589 Ge
0.691 0.750 0.911 Ge
0.002 0.750 0.204 Ho
0.502 0.750 0.296 Ho
0.498 0.250 0.704 Ho
0.998 0.250 0.796 Ho
0.706 0.250 0.084 Pt
0.206 0.250 0.416 Pt
0.794 0.750 0.584 Pt
0.294 0.750 0.916 Pt